1.
BaCaRu2: relaxed, PBE.

```
BaCaRu2
1.0
3.145 0.000 0.000
0.000 3.704 0.000
-1.305 0.000 9.023
Ba Ca Ru
1 1 2
Direct
0.000 0.000 0.000
0.752 0.500 0.591
0.155 0.000 0.364
0.614 0.500 0.267
```

Energy of formation ... 0.384 eV/atom
V ... 26.28 A^3/atom
Offset from the most stable computed form ... 0.221 eV per atom

=====

2.
PrCd2Pd6: relaxed, PBE.

```
PrCd2Pd6
1.0
-2.224 2.967 6.783
2.224 -2.967 6.783
2.224 2.967 -6.783
Pr Cd Pd
1 2 6
Direct
0.000 0.000 0.000
0.375 0.875 0.500
0.625 0.125 0.500
0.051 0.305 0.746
0.283 0.500 0.783
0.441 0.695 0.746
0.559 0.305 0.254
0.717 0.500 0.217
0.949 0.695 0.254
```

Energy of formation ... -0.214 eV/atom
V ... 19.89 A^3/atom

=====

| no. | electronic total energy (eV/atom) |
| --- | --- |
| 1 | -5.2353 |
| 2 | -4.4105 |